A geometry-optimized Tb6Cd5Pb structure, computed with PBE-GGA.

As for the space-group type: Cmmm, No. 65. As for the calculated density: 8.88 g/cm3. The calculation puts the formation energy from the elements at -353.0 meV/atom.

Lattice parameters (Å, degrees): 8.485 8.485 7.484 90.00 90.00 143.28
Element x y z (fractional)
1 Tb 0.000 0.000 0.248
2 Tb 0.000 0.000 0.752
3 Tb 0.332 0.668 0.246
4 Tb 0.332 0.668 0.754
5 Tb 0.668 0.332 0.246
6 Tb 0.668 0.332 0.754
7 Cd 0.166 0.834 0.000
8 Cd 0.174 0.826 0.500
9 Cd 0.500 0.500 0.000
10 Cd 0.826 0.174 0.500
11 Cd 0.834 0.166 0.000
12 Pb 0.500 0.500 0.500


A geometry-optimized Tb2CdPb structure, computed with PBE-GGA.

As for the space-group type: P4/mmm, No. 123. As for the calculated density: 9.74 g/cm3. The calculation puts the formation energy from the elements at -404.7 meV/atom.

Lattice parameters (Å, degrees): 5.022 5.022 4.310 90.00 90.00 90.00
Element x y z (fractional)
1 Tb 0.000 0.500 0.000
2 Tb 0.500 0.000 0.000
3 Cd 0.000 0.000 0.500
4 Pb 0.500 0.500 0.500